{
  "formula": "SrCdAuSe2",
  "functional": "GGA-PBE",
  "state": "relaxed",
  "cell": [[5.0653, 0.0000, 0.0000], [0.0000, 6.6881, 0.0000], [0.0000, 0.0000, 5.0653]],
  "species": ["Se", "Sr", "Au", "Se", "Cd"],
  "frac_coords": [[0.0000, 0.0000, 0.5000], [0.0000, 0.5000, 0.0000], [0.5000, 0.5000, 0.5000], [0.5000, 0.0000, 0.0000], [0.0000, 0.0000, 0.0000]],
  "space_group": "P4/mmm",
  "e_form_raw_ev_per_atom": 0.02,
  "magnetic_moment_mub_per_fu": 0.0
}